SmTm2Tl3Se6: optimized geometry, GGA-PBE.

* ρ: 7.403 g/cm3
* uncorrected formation energy: -1376 meV/atom

```
SmTm2Tl3Se6
1.0
7.244 0.000 0.000
-3.620 6.274 0.000
-1.208 -2.091 7.774
Sm Tm Tl Se
1 2 3 6
Direct
0.000 0.000 0.000 Sm
0.333 0.667 0.000 Tm
0.667 0.333 0.000 Tm
0.165 0.835 0.500 Tl
0.835 0.165 0.500 Tl
0.500 0.500 0.500 Tl
0.932 0.590 0.796 Se
0.726 0.726 0.202 Se
0.068 0.410 0.204 Se
0.590 0.932 0.796 Se
0.274 0.274 0.798 Se
0.410 0.068 0.204 Se
```